Mn2FePtO8: relaxed, PBE with a Hubbard U.

Cell: 4.455 6.051 4.610 Å, 90.00 90.42 90.00°
Space group P2/m (No. 10)
One atom of each set of equivalent atoms:
Mn  0.000  0.244  0.000 x2
Fe  0.500  0.000  0.500 x1
Pt  0.500  0.500  0.500 x1
O  0.208  0.000  0.833 x2
O  0.215  0.500  0.831 x2
O  0.277  0.244  0.329 x4

## Properties
The value obtained for the mass density is 6.5 g/cm³. The final energy comes out at -6.512 eV per atom. Its total magnetic moment is 0.666 μB/atom.